Density functional theory data (GGA-PBE) for a relaxed structure of LiCuSb2.

Geometry as extended XYZ:
```
16
Lattice="7.059 0.000 0.000 0.000 7.059 0.000 0.000 0.000 7.059" Properties=species:S:1:pos:R:3 pbc="T T T"
Li 0.000 0.000 0.000
Li 0.000 3.530 3.530
Li 3.530 0.000 3.530
Li 3.530 3.530 0.000
Cu 1.765 1.765 1.765
Cu 1.765 5.294 5.294
Cu 5.294 1.765 5.294
Cu 5.294 5.294 1.765
Sb 0.000 0.000 3.530
Sb 0.000 3.530 0.000
Sb 1.765 1.765 5.294
Sb 1.765 5.294 1.765
Sb 3.530 0.000 0.000
Sb 3.530 3.530 3.530
Sb 5.294 1.765 1.765
Sb 5.294 5.294 5.294
```

Calculated values
raw formation energy	0.6	eV/f.u.
ΔE to the lowest computed polymorph	1.05	eV per formula unit



Density functional theory data (GGA-PBE) for a relaxed structure of SmPuIr2.

Geometry as extended XYZ:
```
8
Lattice="4.115 0.000 0.000 0.000 3.917 0.000 0.000 0.000 10.875" Properties=species:S:1:pos:R:3 pbc="T T T"
Sm 0.000 0.000 0.000
Sm 0.000 1.958 5.437
Pu 2.057 0.000 7.779
Pu 2.057 1.958 2.342
Ir 0.000 0.000 2.916
Ir 0.000 1.958 8.353
Ir 2.057 0.000 4.800
Ir 2.057 1.958 10.238
```

Calculated values
formation enthalpy at 0 K	-2.2	eV/f.u.



Density functional theory data (GGA-PBE) for a relaxed structure of KLaCd2Ir.

Geometry as extended XYZ:
```
5
Lattice="5.475 0.000 0.000 0.000 5.475 0.000 0.000 0.000 5.270" Properties=species:S:1:pos:R:3 pbc="T T T"
K 0.000 0.000 0.000
La 2.738 2.738 0.000
Cd 0.000 2.738 2.635
Cd 2.738 0.000 2.635
Ir 2.738 2.738 2.635
```

Calculated values
formation enthalpy at 0 K	-1.1	eV/f.u.



Density functional theory data (GGA-PBE) for a relaxed structure of LiPu2Ta3N6.

Geometry as extended XYZ:
```
12
Lattice="2.752 -4.794 0.000 2.752 4.794 0.000 -1.809 0.000 5.375" Properties=species:S:1:pos:R:3 pbc="T T T"
Li 0.000 0.000 0.000
Pu 2.752 1.601 0.000
Pu 2.752 -1.601 0.000
Ta 1.847 3.294 2.688
Ta 1.847 0.000 2.688
Ta 1.847 -3.294 2.688
N 0.915 1.583 1.496
N -0.017 0.000 3.947
N 0.915 -1.583 1.496
N 2.779 1.583 3.879
N 3.712 0.000 1.428
N 2.779 -1.583 3.879
```

Calculated values
raw formation energy	-14.3	eV/f.u.